DFT (GGA-PBE) results for an optimized crystal structure of BaSrNi.

## Properties
Magnetic moment, μB/f.u.: 0.000
SG: C2/m (12)
Calculated total energy, eV for the cell shown: -18.93
Density, g cm⁻³: 3.89
Energy of formation from the pure elements, eV/atom: -0.026
Polymorph energy (0 for the lowest one), meV/atom: 0

abc: 4.2668 7.0910 8.4139
angles: 99.78 104.69 90.00
With the nearest neighbours (Å) after each atom.
Element x y z (fractional)
1 Ba 0.5911 0.2878 0.1822  3 Ni 3.08-3.28
2 Ba 0.4089 0.7122 0.8178  3 Ni 3.08-3.28
3 Sr 0.8328 0.2076 0.6657  3 Ni 3.04-3.16
4 Sr 0.1672 0.7924 0.3343  3 Ni 3.04-3.16
5 Ni 0.2424 0.4287 0.4849  2 Ni 2.36
6 Ni 0.7576 0.5713 0.5151  2 Ni 2.36